<one>
This record from the Open Quantum Materials Database describes a relaxed structure of NdTeNO. The functional is PBE-GGA.

a = 5.8926 Å, b = 9.1604 Å, c = 5.7821 Å
α = 90.00°, β = 90.00°, γ = 90.00°
Element x y z (fractional)
Nd: 0.0272 0.1209 0.0000
Nd: 0.4728 0.1209 0.5000
Nd: 0.5272 0.8791 0.0000
Nd: 0.9728 0.8791 0.5000
Te: 0.0549 0.3966 0.4532
Te: 0.4451 0.3966 0.9532
Te: 0.5549 0.6034 0.4532
Te: 0.9451 0.6034 0.9532
N: 0.2184 0.2983 0.7234
N: 0.2816 0.2983 0.2234
N: 0.7184 0.7017 0.7234
N: 0.7816 0.7017 0.2234
O: 0.2483 0.9782 0.2496
O: 0.2517 0.9782 0.7496
O: 0.7483 0.0218 0.2496
O: 0.7517 0.0218 0.7496

Computed properties:
SG = Pca2_1

***

<two>
This record from the Open Quantum Materials Database describes a relaxed structure of NdTeNO. The functional is PBE-GGA.

a = 4.5598 Å, b = 4.5598 Å, c = 7.3797 Å
α = 90.00°, β = 90.00°, γ = 90.00°
Element x y z (fractional)
Nd: 0.2500 0.2500 0.1280
Nd: 0.7500 0.7500 0.8720
Te: 0.2500 0.7500 0.5000
Te: 0.7500 0.2500 0.5000
N: 0.2500 0.2500 0.4559
N: 0.7500 0.7500 0.5441
O: 0.2500 0.7500 0.0000
O: 0.7500 0.2500 0.0000

Computed properties:
SG = P4/nmm

***

<three>
This record from the Open Quantum Materials Database describes a relaxed structure of NdTeNO. The functional is PBE-GGA.

a = 5.1529 Å, b = 5.1529 Å, c = 4.9559 Å
α = 90.00°, β = 90.00°, γ = 90.00°
Element x y z (fractional)
Nd: 0.2500 0.7500 0.0000
Nd: 0.7500 0.2500 0.0000
Te: 0.2500 0.2500 0.4863
Te: 0.7500 0.7500 0.5137
N: 0.2500 0.2500 0.8955
N: 0.7500 0.7500 0.1045
O: 0.2500 0.7500 0.5000
O: 0.7500 0.2500 0.5000

Computed properties:
SG = P4/nmm

***

The most stable structure shown above is <one>; the least stable is <three>.